[1]
Entry from Alexandria via LeMat-Bulk: a geometry-optimized KTl7Pd5 structure (PBE-GGA).

a b c (Å): 5.835 7.688 7.688
angles (deg): 83.12 67.70 67.70
Fractional coordinates of all 13 atoms:
Tl: 0.987 0.349 0.677
Tl: 0.987 0.677 0.349
Tl: 0.269 0.231 0.231
Tl: 0.636 0.364 0.364
Tl: 0.524 0.165 0.787
Tl: 0.313 0.687 0.687
Tl: 0.524 0.787 0.165
Pd: 0.014 0.996 0.487
Pd: 0.014 0.487 0.996
Pd: 0.742 0.758 0.758
Pd: 0.503 0.487 0.996
Pd: 0.503 0.996 0.487
K: 0.984 0.016 0.016

The symmetry is No. 44. As for the formation energy from the elements: -123 meV per atom.

---

[2]
Entry from Alexandria via LeMat-Bulk: a geometry-optimized MnIrSe2 structure (PBE-GGA).

a b c (Å): 4.498 4.499 3.186
angles (deg): 90.00 90.00 90.00
Fractional coordinates of all 4 atoms:
Se: 0.500 0.500 0.000
Se: 0.000 0.000 0.000
Ir: 0.500 0.000 0.500
Mn: 0.000 0.500 0.500

As for the energy above the most stable polymorph in this dataset: 419 meV/atom. The symmetry is No. 123. The uncorrected formation energy comes out at 0.18 eV per atom.

---

[3]
Entry from Alexandria via LeMat-Bulk: a geometry-optimized LiAlPS4 structure (PBE-GGA).

a b c (Å): 5.754 5.754 6.160
angles (deg): 117.84 117.84 90.00
Fractional coordinates of all 7 atoms:
S: 0.385 0.854 0.267
S: 0.587 0.615 0.733
S: 0.882 0.413 0.267
S: 0.146 0.118 0.733
P: 0.250 0.750 0.500
Li: 0.000 0.000 0.000
Al: 0.500 0.500 0.000

The symmetry is No. 82. The uncorrected formation energy comes out at -0.61 eV per atom.

---

[4]
Entry from Alexandria via LeMat-Bulk: a geometry-optimized YTi2Ni3 structure (PBE-GGA).

a b c (Å): 5.488 6.104 6.104
angles (deg): 105.07 90.00 90.00
Fractional coordinates of all 12 atoms:
Ti: 0.500 0.208 0.792
Ti: 0.000 0.792 0.208
Ti: 0.500 0.792 0.208
Ti: 0.000 0.208 0.792
Ni: 0.250 0.947 0.947
Ni: 0.750 0.053 0.053
Ni: 0.250 0.545 0.842
Ni: 0.750 0.158 0.455
Ni: 0.750 0.455 0.158
Ni: 0.250 0.842 0.545
Y: 0.250 0.331 0.331
Y: 0.750 0.669 0.669

The symmetry is No. 63. As for the formation energy from the elements: -286 meV per atom.

---

[5]
Entry from Alexandria via LeMat-Bulk: a geometry-optimized Ni2H2Ir structure (PBE-GGA).

a b c (Å): 4.917 4.917 3.749
angles (deg): 90.00 90.00 90.00
Fractional coordinates of all 10 atoms:
Ni: 0.685 0.815 0.500
Ni: 0.185 0.685 0.500
Ni: 0.815 0.315 0.500
Ni: 0.315 0.185 0.500
H: 0.822 0.322 0.000
H: 0.678 0.822 0.000
H: 0.178 0.678 0.000
H: 0.322 0.178 0.000
Ir: 0.000 0.000 0.000
Ir: 0.500 0.500 0.000

As for the energy above the most stable polymorph in this dataset: 105 meV/atom. The symmetry is No. 127.

---

[6]
Entry from Alexandria via LeMat-Bulk: a geometry-optimized La2RhSBr structure (PBE-GGA).

a b c (Å): 5.619 4.508 5.619
angles (deg): 90.00 90.00 90.00
Fractional coordinates of all 5 atoms:
S: 0.500 0.500 0.500
La: 0.500 0.000 0.000
La: 0.000 0.000 0.500
Br: 0.000 0.000 0.000
Rh: 0.000 0.500 0.000

As for the energy above the most stable polymorph in this dataset: 0 meV/atom. The symmetry is No. 123. The uncorrected formation energy comes out at -0.45 eV per atom.

---

[7]
Entry from Alexandria via LeMat-Bulk: a geometry-optimized Li6PrPb6 structure (PBE-GGA).

a b c (Å): 5.979 7.685 7.685
angles (deg): 78.08 67.11 67.11
Fractional coordinates of all 13 atoms:
Pb: 0.667 0.833 0.833
Pb: 0.000 0.343 0.657
Pb: 0.333 0.167 0.167
Pb: 0.663 0.337 0.337
Pb: 0.337 0.663 0.663
Pb: 0.000 0.657 0.343
Li: 0.500 0.247 0.753
Li: 0.500 0.000 0.500
Li: 0.000 0.500 0.000
Li: 0.000 0.000 0.500
Li: 0.500 0.753 0.247
Li: 0.500 0.500 0.000
Pr: 0.000 0.000 0.000

The symmetry is No. 71. As for the formation energy from the elements: -307 meV per atom.

---

[8]
Entry from Alexandria via LeMat-Bulk: a geometry-optimized CsCdPb3 structure (PBE-GGA).

a b c (Å): 5.386 5.392 7.411
angles (deg): 68.71 68.72 90.02
Fractional coordinates of all 5 atoms:
Pb: 0.786 0.590 0.133
Pb: 0.647 0.950 0.411
Pb: 0.147 0.450 0.412
Cs: 0.401 0.205 0.902
Cd: 0.026 0.830 0.653

As for the energy above the most stable polymorph in this dataset: 0 meV/atom. The symmetry is No. 107. As for the formation energy from the elements: -106 meV per atom.

---

V / Å³/cell: 295.1 64.5 153.1 197.5 90.6 142.3 299.0 184.7